A geometry-optimized Pr3ZnGe6Pd2 structure. Source: Alexandria via LeMat-Bulk, functional GGA-PBE.

DFT formation energy (eV/atom): -0.41

abc: 5.9910 5.9910 8.4587
angles: 90.00 90.00 120.00
With the nearest neighbours (Å) after each atom.
Sites, in units of the cell vectors:
Pr (0.0000, 0.0000, 0.0000)  6 Ge 3.05
Pr (0.3333, 0.6667, 0.6180)  9 Ge 3.13-3.25, 1 Pd 3.43
Pr (0.6667, 0.3333, 0.3820)  9 Ge 3.13-3.25, 1 Pd 3.43
Zn (0.0000, 0.0000, 0.5000)  6 Ge 2.71
Ge (0.1880, 0.3760, 0.2772)  2 Ge 2.61, 1 Pd 2.63, 1 Zn 2.71
Ge (0.1880, 0.8120, 0.2772)  2 Ge 2.61, 1 Pd 2.63, 1 Zn 2.71
Ge (0.3760, 0.1880, 0.7228)  2 Ge 2.61, 1 Pd 2.63, 1 Zn 2.71
Ge (0.6240, 0.8120, 0.2772)  2 Ge 2.61, 1 Pd 2.63, 1 Zn 2.71
Ge (0.8120, 0.1880, 0.7228)  2 Ge 2.61, 1 Pd 2.63, 1 Zn 2.71
Ge (0.8120, 0.6240, 0.7228)  2 Ge 2.61, 1 Pd 2.63, 1 Zn 2.71
Pd (0.3333, 0.6667, 0.0230)  3 Ge 2.63
Pd (0.6667, 0.3333, 0.9770)  3 Ge 2.63

A geometry-optimized BaMg2As2 structure. Source: Alexandria via LeMat-Bulk, functional GGA-PBE.

DFT formation energy (eV/atom): -0.47

abc: 8.2281 8.2281 3.5395
angles: 90.00 90.00 90.00
With the nearest neighbours (Å) after each atom.
Sites, in units of the cell vectors:
Ba (0.0000, 0.0000, 0.0000)  4 Mg 3.27, 8 As 3.53, 2 Ba 3.54
Ba (0.5000, 0.5000, 0.0000)  4 Mg 3.27, 8 As 3.53, 2 Ba 3.54
Mg (0.1217, 0.3783, 0.0000)  1 Mg 2.83, 6 As 2.99-3.02
Mg (0.3783, 0.8783, 0.0000)  1 Mg 2.83, 6 As 2.99-3.02
Mg (0.6217, 0.1217, 0.0000)  1 Mg 2.83, 6 As 2.99-3.02
Mg (0.8783, 0.6217, 0.0000)  1 Mg 2.83, 6 As 2.99-3.02
As (0.1716, 0.6716, 0.5000)  6 Mg 2.99-3.02
As (0.3284, 0.1716, 0.5000)  6 Mg 2.99-3.02
As (0.6716, 0.8284, 0.5000)  6 Mg 2.99-3.02
As (0.8284, 0.3284, 0.5000)  6 Mg 2.99-3.02

A geometry-optimized AlAg2Te structure. Source: Alexandria via LeMat-Bulk, functional GGA-PBE.

Raw formation energy (meV per atom): 54
ΔE to the lowest computed polymorph (meV per atom): 10

abc: 3.0856 4.4285 6.5765
angles: 90.00 102.18 90.00
With the nearest neighbours (Å) after each atom.
Sites, in units of the cell vectors:
Al (0.0000, 0.0000, 0.0000)  4 Ag 2.67
Ag (0.1892, 0.5000, 0.8082)  2 Al 2.67, 1 Ag 2.83, 2 Te 2.98
Ag (0.8108, 0.5000, 0.1918)  2 Al 2.67, 1 Ag 2.83, 2 Te 2.98
Te (0.0000, 0.0000, 0.5000)  4 Ag 2.98, 2 Te 3.09, 2 Al 3.29